# 1
A plane-wave DFT calculation with GGA-PBE was carried out for a relaxed structure of CsHgPbAu2.

a b c (Å): 5.7141 5.7141 5.7797
angles (deg): 90.00 90.00 90.00
Element x y z (fractional)
Au: 0.0000 0.5000 0.0000
Au: 0.5000 0.0000 0.0000
Hg: 0.0000 0.0000 0.5000
Cs: 0.5000 0.5000 0.5000
Pb: 0.0000 0.0000 0.0000

Calculated values
Calculated volume, Å³ per atom: 37.7
Crystal system: tetragonal
SG: P4/mmm, No. 123
Polymorph energy (0 for the lowest one), meV/atom: 53
Formation enthalpy at 0 K, meV/atom: -76
Raw total energy, eV/atom: -2.36

# 2
A plane-wave DFT calculation with GGA-PBE was carried out for a relaxed structure of CsHg2PbAu.

a b c (Å): 4.9636 5.1286 7.3357
angles (deg): 110.46 109.77 90.00
Element x y z (fractional)
Cs: 0.4427 0.4427 0.8853
Hg: 0.7017 0.2017 0.4034
Hg: 0.0475 0.0475 0.0950
Pb: 0.1997 0.6997 0.3994
Au: 0.8206 0.8206 0.6411

Calculated values
Calculated volume, Å³ per atom: 32.6
Crystal system: orthorhombic
SG: Imm2, No. 44
Polymorph energy (0 for the lowest one), meV/atom: 0
Formation enthalpy at 0 K, meV/atom: -170
Raw total energy, eV/atom: -1.86

# 3
A plane-wave DFT calculation with GGA-PBE was carried out for a relaxed structure of CsHgPb3Au.

a b c (Å): 6.9167 7.6445 9.0891
angles (deg): 114.87 90.00 90.00
Element x y z (fractional)
Pb: 0.0000 0.2724 0.0000
Pb: 0.0000 0.7276 0.0000
Pb: 0.5000 0.7276 0.0000
Pb: 0.7500 0.8736 0.7473
Pb: 0.2500 0.1264 0.2527
Pb: 0.5000 0.2724 0.0000
Hg: 0.7500 0.6554 0.3107
Hg: 0.2500 0.3446 0.6893
Cs: 0.7500 0.2790 0.5579
Cs: 0.2500 0.7210 0.4421
Au: 0.7500 0.0687 0.1375
Au: 0.2500 0.9313 0.8625

Calculated values
Calculated volume, Å³ per atom: 36.3
Crystal system: orthorhombic
SG: Cmcm, No. 63
Formation enthalpy at 0 K, meV/atom: -85
Raw total energy, eV/atom: -2.68

# 4
A plane-wave DFT calculation with GGA-PBE was carried out for a relaxed structure of Cs2Hg7PbAu2.

a b c (Å): 4.9257 4.9257 16.1695
angles (deg): 84.20 84.20 89.69
Element x y z (fractional)
Au: 0.5800 0.5800 0.7486
Au: 0.4200 0.4200 0.2514
Hg: 0.0463 0.5480 0.8548
Hg: 0.3560 0.3560 0.4331
Hg: 0.4520 0.9537 0.1452
Hg: 0.6440 0.6440 0.5669
Hg: 0.5000 0.5000 0.0000
Hg: 0.5480 0.0463 0.8548
Hg: 0.9537 0.4520 0.1452
Cs: 0.8921 0.8921 0.3335
Cs: 0.1079 0.1079 0.6665
Pb: 0.0000 0.0000 0.0000

Calculated values
Calculated volume, Å³ per atom: 32.4
Crystal system: monoclinic
SG: C2/m, No. 12
Formation enthalpy at 0 K, meV/atom: -130
Raw total energy, eV/atom: -1.30

# 5
A plane-wave DFT calculation with GGA-PBE was carried out for a relaxed structure of CsHg8PbAu2.

a b c (Å): 6.9395 6.9395 13.5683
angles (deg): 48.81 48.81 56.26
Element x y z (fractional)
Hg: 0.2370 0.7327 0.8018
Hg: 0.3161 0.3161 0.0928
Hg: 0.2673 0.7630 0.1982
Hg: 0.2996 0.2996 0.5434
Hg: 0.7004 0.7004 0.4566
Hg: 0.6839 0.6839 0.9072
Hg: 0.7630 0.2673 0.1982
Hg: 0.7327 0.2370 0.8018
Au: 0.3518 0.3518 0.7299
Au: 0.6482 0.6482 0.2701
Cs: 0.0000 0.0000 0.5000
Pb: 0.0000 0.0000 0.0000

Calculated values
Calculated volume, Å³ per atom: 30.1
Crystal system: monoclinic
SG: C2/m, No. 12
Formation enthalpy at 0 K, meV/atom: -56
Raw total energy, eV/atom: -1.18

# 6
A plane-wave DFT calculation with GGA-PBE was carried out for a relaxed structure of Cs2Hg12PbAu3.

a b c (Å): 11.4945 11.4945 11.4945
angles (deg): 46.04 46.04 46.04
Element x y z (fractional)
Hg: 0.9515 0.3257 0.9515
Hg: 0.9515 0.9515 0.3257
Hg: 0.9504 0.3548 0.3548
Hg: 0.0485 0.0485 0.6743
Hg: 0.3548 0.3548 0.9504
Hg: 0.3257 0.9515 0.9515
Hg: 0.3548 0.9504 0.3548
Hg: 0.6452 0.0496 0.6452
Hg: 0.0496 0.6452 0.6452
Hg: 0.0485 0.6743 0.0485
Hg: 0.6743 0.0485 0.0485
Hg: 0.6452 0.6452 0.0496
Cs: 0.3584 0.3584 0.3584
Cs: 0.6416 0.6416 0.6416
Au: 0.0000 0.0000 0.5000
Au: 0.5000 0.0000 0.0000
Au: 0.0000 0.5000 0.0000
Pb: 0.0000 0.0000 0.0000

Calculated values
Calculated volume, Å³ per atom: 39.9
Crystal system: trigonal
SG: R-3m, No. 166
Formation enthalpy at 0 K, meV/atom: -36
Raw total energy, eV/atom: -1.08

# 7
A plane-wave DFT calculation with GGA-PBE was carried out for a relaxed structure of CsHg2PbAu.

a b c (Å): 5.6136 5.6136 5.6590
angles (deg): 90.00 90.00 90.00
Element x y z (fractional)
Hg: 0.5000 0.0000 0.0000
Hg: 0.0000 0.5000 0.0000
Cs: 0.5000 0.5000 0.5000
Pb: 0.0000 0.0000 0.5000
Au: 0.0000 0.0000 0.0000

Calculated values
Calculated volume, Å³ per atom: 35.7
Crystal system: tetragonal
SG: P4/mmm, No. 123
Polymorph energy (0 for the lowest one), meV/atom: 140
Formation enthalpy at 0 K, meV/atom: -30
Raw total energy, eV/atom: -1.72

# 8
A plane-wave DFT calculation with GGA-PBE was carried out for a relaxed structure of CsHg2PbAu.

a b c (Å): 6.0817 6.0817 5.6671
angles (deg): 90.00 90.00 90.00
Element x y z (fractional)
Pb: 0.0000 0.0000 0.0000
Au: 0.0000 0.0000 0.5000
Hg: 0.5000 0.0000 0.0000
Hg: 0.0000 0.5000 0.0000
Cs: 0.5000 0.5000 0.5000

Calculated values
Calculated volume, Å³ per atom: 41.9
Crystal system: tetragonal
SG: P4/mmm, No. 123
Polymorph energy (0 for the lowest one), meV/atom: 94
Formation enthalpy at 0 K, meV/atom: -77
Raw total energy, eV/atom: -1.77

Which of these has the highest formation enthalpy at 0 K?
number 7